[1]
Crystalline Ba7H2Au at its relaxed geometry. Source: Alexandria via LeMat-Bulk, functional PBE-GGA.

The total magnetization is 0.001 μB per formula unit. The calculation puts the density of states at the Fermi level at 11.87 states/eV per cell. The calculation puts the total energy at -25.81 eV/cell.

abc: 4.2507 10.8929 10.8929
angles: 116.48 90.00 90.00
Closest atoms and distances in Å follow each position.
Positions (direct):
1 H 0.5000 0.7980 0.2020  4 Ba 2.59-2.60
2 H 0.5000 0.2020 0.7980  4 Ba 2.59-2.60
3 Au 0.0000 0.0000 0.0000  8 Ba 3.53
4 Ba 0.5000 0.7199 0.9402  1 H 2.59
5 Ba 0.5000 0.5000 0.5000  10 Ba 4.25-4.55
6 Ba 0.5000 0.9402 0.7199  1 H 2.59
7 Ba 0.5000 0.2801 0.0598  1 H 2.59
8 Ba 0.0000 0.2830 0.7170  2 H 2.60
9 Ba 0.5000 0.0598 0.2801  1 H 2.59
10 Ba 0.0000 0.7170 0.2830  2 H 2.60


[2]
Crystalline BaH2Au at its relaxed geometry. Source: Alexandria via LeMat-Bulk, functional PBE-GGA.

The calculation puts the energy relative to the lowest polymorph listed for this composition at 0 meV/atom. The total magnetization is 0.000 μB per formula unit. The calculation puts the total energy at -54.69 eV/cell.

abc: 4.9699 7.1698 8.4049
angles: 90.00 91.62 90.00
Closest atoms and distances in Å follow each position.
Positions (direct):
1 Au 0.3007 0.6086 0.0459  1 H 1.70
2 Au 0.3007 0.8914 0.5459  1 H 1.70
3 Au 0.6993 0.3914 0.9541  1 H 1.70
4 Au 0.6993 0.1086 0.4541  1 H 1.70
5 H 0.9328 0.2322 0.9007  1 Au 1.70
6 H 0.2815 0.0358 0.8386  1 H 2.30
7 H 0.7185 0.9642 0.1614  1 H 2.30
8 H 0.9328 0.2678 0.4007  1 Au 1.70
9 H 0.0672 0.7678 0.0993  1 Au 1.70
10 H 0.7185 0.5358 0.6614  1 H 2.30
11 H 0.0672 0.7322 0.5993  1 Au 1.70
12 H 0.2815 0.4642 0.3386  1 H 2.30
13 Ba 0.7653 0.6351 0.3364  7 H 2.70-2.84
14 Ba 0.2347 0.3649 0.6636  7 H 2.70-2.84
15 Ba 0.2347 0.1351 0.1636  7 H 2.70-2.84
16 Ba 0.7653 0.8649 0.8364  7 H 2.70-2.84